This record from Alexandria via LeMat-Bulk describes a geometry-optimized Nd2AgSe structure. The functional is PBE-GGA.

CIF file:
```
data_Nd2AgSe
_chemical_formula_sum 'Nd8 Ag4 Se4'
_cell_length_a 4.196
_cell_length_b 24.302
_cell_length_c 4.309
_cell_angle_alpha 90.00
_cell_angle_beta 90.00
_cell_angle_gamma 90.00
_symmetry_space_group_name_H-M 'C m c m'
_symmetry_Int_Tables_number 63
_symmetry_space_group_name_Hall '-C 2c 2'
loop_
_atom_site_label
_atom_site_type_symbol
_atom_site_fract_x
_atom_site_fract_y
_atom_site_fract_z
Nd1 Nd 0.000 0.071 0.250
Nd2 Nd 0.000 0.314 0.250
Ag1 Ag 0.000 0.459 0.250
Se1 Se 0.000 0.192 0.250
```

formation energy (no corrections)	-1.035	eV per atom
polymorph energy (0 for the lowest one)	0	meV per atom
E	-80.1	eV per cell